[1]
{
  "formula": "BeCdSe2",
  "functional": "PBEsol",
  "state": "optimized geometry",
  "polymorph_energy_ev_per_atom": 0.000,
  "e_form_raw_ev_per_atom": -0.66,
  "crystal_system": "tetragonal",
  "dos_ef_per_ev_atom": 0.00,
  "total_energy_ev_per_atom": -3.88,
  "lattice": [[5.680, 0.000, 0.000], [0.000, 5.680, 0.000], [-2.840, -2.840, 5.371]],
  "species": ["Se", "Se", "Se", "Be", "Be", "Cd", "Se", "Cd"],
  "frac_coords": [[0.434, 0.875, 0.250], [0.625, 0.566, 0.750], [0.125, 0.184, 0.750], [0.750, 0.250, 0.500], [0.500, 0.500, 0.000], [0.250, 0.750, 0.500], [0.816, 0.375, 0.250], [0.000, 0.000, 0.000]]
}

[2]
{
  "formula": "Be2CdSe",
  "functional": "PBEsol",
  "state": "optimized geometry",
  "polymorph_energy_ev_per_atom": 0.000,
  "e_form_raw_ev_per_atom": 0.43,
  "crystal_system": "orthorhombic",
  "dos_ef_per_ev_atom": 0.21,
  "total_energy_ev_per_atom": -2.83,
  "lattice": [[3.360, 0.000, 0.000], [0.000, 3.346, 0.000], [0.000, 0.000, 6.074]],
  "species": ["Be", "Be", "Cd", "Se"],
  "frac_coords": [[0.000, 0.000, 0.000], [0.500, 0.000, 0.500], [0.500, 0.500, 0.000], [0.000, 0.500, 0.500]]
}

[3]
{
  "formula": "BeCd2Se",
  "functional": "PBEsol",
  "state": "optimized geometry",
  "polymorph_energy_ev_per_atom": 0.000,
  "e_form_raw_ev_per_atom": 0.28,
  "crystal_system": "orthorhombic",
  "dos_ef_per_ev_atom": 0.34,
  "total_energy_ev_per_atom": -2.28,
  "lattice": [[2.769, 0.000, 0.000], [0.000, 3.370, 0.000], [0.000, 0.000, 7.820]],
  "species": ["Cd", "Be", "Cd", "Se"],
  "frac_coords": [[0.000, 0.000, 0.708], [0.500, 0.500, 0.500], [0.000, 0.000, 0.292], [0.500, 0.500, 0.000]]
}

[4]
{
  "formula": "Be2CdSe",
  "functional": "PBEsol",
  "state": "optimized geometry",
  "polymorph_energy_ev_per_atom": 0.398,
  "e_form_raw_ev_per_atom": 0.83,
  "crystal_system": "cubic",
  "dos_ef_per_ev_atom": 0.54,
  "total_energy_ev_per_atom": -2.43,
  "lattice": [[4.512, 0.000, 0.000], [2.256, 3.908, 0.000], [2.256, 1.303, 3.684]],
  "species": ["Be", "Be", "Se", "Cd"],
  "frac_coords": [[0.000, 0.000, 0.000], [0.750, 0.750, 0.750], [0.250, 0.250, 0.250], [0.500, 0.500, 0.500]]
}

[5]
{
  "formula": "BeCdSe4",
  "functional": "PBEsol",
  "state": "optimized geometry",
  "e_form_raw_ev_per_atom": 0.74,
  "crystal_system": "cubic",
  "dos_ef_per_ev_atom": 0.70,
  "total_energy_ev_per_atom": -2.70,
  "lattice": [[-5.274, -1.354, 1.480], [-0.963, -2.691, 4.866], [-2.515, 2.701, 4.269]],
  "species": ["Cd", "Se", "Se", "Se", "Se", "Be"],
  "frac_coords": [[0.000, 0.000, 0.000], [0.874, 0.375, 0.375], [0.375, 0.375, 0.375], [0.375, 0.375, 0.874], [0.375, 0.874, 0.375], [0.750, 0.750, 0.750]]
}

[6]
{
  "formula": "BeCd2Se",
  "functional": "PBEsol",
  "state": "optimized geometry",
  "polymorph_energy_ev_per_atom": 0.241,
  "e_form_raw_ev_per_atom": 0.52,
  "crystal_system": "cubic",
  "dos_ef_per_ev_atom": 0.45,
  "total_energy_ev_per_atom": -2.04,
  "lattice": [[-0.870, 3.768, 2.851], [-2.120, -0.652, 4.263], [2.520, 0.581, 4.050]],
  "species": ["Be", "Se", "Cd", "Cd"],
  "frac_coords": [[0.000, 0.000, 0.000], [0.500, 0.500, 0.500], [0.250, 0.250, 0.250], [0.750, 0.750, 0.750]]
}

[7]
{
  "formula": "BeCdSe3",
  "functional": "PBEsol",
  "state": "optimized geometry",
  "e_form_raw_ev_per_atom": 1.05,
  "crystal_system": "cubic",
  "dos_ef_per_ev_atom": 1.02,
  "total_energy_ev_per_atom": -2.30,
  "lattice": [[5.084, 0.000, 0.000], [0.000, 5.084, 0.000], [0.000, 0.000, 5.084]],
  "species": ["Se", "Se", "Se", "Be", "Cd"],
  "frac_coords": [[0.500, 0.000, 0.000], [0.000, 0.000, 0.500], [0.000, 0.500, 0.000], [0.500, 0.500, 0.500], [0.000, 0.000, 0.000]]
}

[8]
{
  "formula": "BeCd2Se",
  "functional": "PBEsol",
  "state": "optimized geometry",
  "polymorph_energy_ev_per_atom": 0.089,
  "e_form_raw_ev_per_atom": 0.37,
  "crystal_system": "tetragonal",
  "dos_ef_per_ev_atom": 0.48,
  "total_energy_ev_per_atom": -2.19,
  "lattice": [[3.819, 0.000, 0.000], [0.000, 3.822, 0.000], [0.000, 0.000, 5.328]],
  "species": ["Be", "Cd", "Cd", "Se"],
  "frac_coords": [[0.000, 0.500, 0.500], [0.500, 0.500, 0.000], [0.000, 0.000, 0.000], [0.500, 0.000, 0.500]]
}

[9]
{
  "formula": "BeCdSi3",
  "functional": "PBEsol",
  "state": "optimized geometry",
  "e_form_raw_ev_per_atom": 0.64,
  "crystal_system": "cubic",
  "dos_ef_per_ev_atom": 0.39,
  "total_energy_ev_per_atom": -3.84,
  "lattice": [[4.358, 0.000, 0.000], [0.000, 4.358, 0.000], [0.000, 0.000, 4.358]],
  "species": ["Si", "Si", "Cd", "Si", "Be"],
  "frac_coords": [[0.500, 0.000, 0.000], [0.000, 0.500, 0.000], [0.500, 0.500, 0.500], [0.000, 0.000, 0.500], [0.000, 0.000, 0.000]]
}

[10]
{
  "formula": "SrBeCd2Tc",
  "functional": "PBEsol",
  "state": "optimized geometry",
  "crystal_system": "tetragonal",
  "dos_ef_per_ev_atom": 0.98,
  "total_energy_ev_per_atom": -1.69,
  "lattice": [[-1.580, 1.084, -4.643], [2.210, -4.805, -1.874], [-4.846, -2.632, 1.035]],
  "species": ["Tc", "Cd", "Be", "Cd", "Sr"],
  "frac_coords": [[0.500, 0.500, 0.500], [0.000, 0.500, 0.000], [0.500, 0.000, 0.000], [0.000, 0.000, 0.500], [0.000, 0.000, 0.000]]
}

[11]
{
  "formula": "TaBeCd3",
  "functional": "PBEsol",
  "state": "optimized geometry",
  "crystal_system": "cubic",
  "dos_ef_per_ev_atom": 0.54,
  "total_energy_ev_per_atom": -3.15,
  "lattice": [[4.481, 0.000, 0.000], [0.000, 4.481, 0.000], [0.000, 0.000, 4.481]],
  "species": ["Be", "Cd", "Cd", "Cd", "Ta"],
  "frac_coords": [[0.000, 0.000, 0.000], [0.000, 0.000, 0.500], [0.500, 0.000, 0.000], [0.000, 0.500, 0.000], [0.500, 0.500, 0.500]]
}

[12]
{
  "formula": "BeCdTc2",
  "functional": "PBEsol",
  "state": "optimized geometry",
  "polymorph_energy_ev_per_atom": 0.091,
  "crystal_system": "trigonal",
  "dos_ef_per_ev_atom": 1.07,
  "total_energy_ev_per_atom": -6.53,
  "lattice": [[-1.768, 1.047, -1.780], [-1.732, -1.632, -1.316], [-7.003, 0.836, 5.370]],
  "species": ["Tc", "Tc", "Be", "Cd"],
  "frac_coords": [[0.760, 0.760, 0.720], [0.240, 0.240, 0.280], [0.500, 0.500, 0.500], [0.000, 0.000, 0.000]]
}

[13]
{
  "formula": "BeCdTc2",
  "functional": "PBEsol",
  "state": "optimized geometry",
  "polymorph_energy_ev_per_atom": 0.000,
  "crystal_system": "orthorhombic",
  "dos_ef_per_ev_atom": 0.70,
  "total_energy_ev_per_atom": -6.62,
  "lattice": [[-1.903, -1.781, 0.797], [1.442, -2.853, -2.935], [3.191, 0.566, 4.226]],
  "species": ["Cd", "Be", "Tc", "Tc"],
  "frac_coords": [[0.000, 0.500, 0.000], [0.500, 0.000, 0.000], [0.789, 0.789, 0.579], [0.211, 0.211, 0.421]]
}

[14]
{
  "formula": "BeCd2Tc",
  "functional": "PBEsol",
  "state": "optimized geometry",
  "crystal_system": "orthorhombic",
  "dos_ef_per_ev_atom": 0.56,
  "total_energy_ev_per_atom": -3.99,
  "lattice": [[2.843, 0.000, 0.000], [0.000, 4.474, 0.000], [-1.422, -2.237, 4.696]],
  "species": ["Tc", "Cd", "Cd", "Be"],
  "frac_coords": [[0.000, 0.500, 0.000], [0.217, 0.217, 0.433], [0.783, 0.783, 0.567], [0.500, 0.000, 0.000]]
}

[15]
{
  "formula": "BeCd2Tc",
  "functional": "PBEsol",
  "state": "optimized geometry",
  "crystal_system": "monoclinic",
  "dos_ef_per_ev_atom": 0.57,
  "total_energy_ev_per_atom": -3.95,
  "lattice": [[2.765, 0.000, -0.008], [0.000, 4.323, 0.000], [-1.369, 0.000, 5.133]],
  "species": ["Cd", "Be", "Cd", "Tc"],
  "frac_coords": [[0.119, 0.000, 0.261], [0.500, 0.500, 0.500], [0.881, 0.000, 0.739], [0.500, 0.500, 0.000]]
}

[16]
{
  "formula": "BeCdTc2",
  "functional": "PBEsol",
  "state": "optimized geometry",
  "polymorph_energy_ev_per_atom": 0.181,
  "crystal_system": "tetragonal",
  "dos_ef_per_ev_atom": 1.04,
  "total_energy_ev_per_atom": -6.44,
  "lattice": [[-2.519, -1.945, 1.755], [2.619, -1.917, 1.635], [0.059, 2.814, 3.203]],
  "species": ["Tc", "Be", "Cd", "Tc"],
  "frac_coords": [[0.500, 0.000, 0.000], [0.500, 0.500, 0.500], [0.000, 0.000, 0.500], [0.000, 0.500, 0.000]]
}

[17]
{
  "formula": "BeTlCd2Tc",
  "functional": "PBEsol",
  "state": "optimized geometry",
  "crystal_system": "tetragonal",
  "dos_ef_per_ev_atom": 0.57,
  "total_energy_ev_per_atom": -2.46,
  "lattice": [[-3.781, -1.476, 1.657], [2.676, -2.815, 3.599], [-0.147, 4.115, 3.329]],
  "species": ["Cd", "Tc", "Tl", "Cd", "Be"],
  "frac_coords": [[0.000, 0.000, 0.500], [0.500, 0.500, 0.500], [0.000, 0.000, 0.000], [0.000, 0.500, 0.000], [0.500, 0.000, 0.000]]
}

[18]
{
  "formula": "BeCdTe2",
  "functional": "PBEsol",
  "state": "optimized geometry",
  "polymorph_energy_ev_per_atom": 0.692,
  "e_form_raw_ev_per_atom": 0.35,
  "crystal_system": "tetragonal",
  "dos_ef_per_ev_atom": 0.45,
  "total_energy_ev_per_atom": -2.72,
  "lattice": [[-3.546, 1.033, -1.347], [-1.388, -3.560, 0.924], [0.882, 3.386, 6.012]],
  "species": ["Cd", "Te", "Te", "Be"],
  "frac_coords": [[0.250, 0.750, 0.500], [0.000, 0.000, 0.000], [0.750, 0.250, 0.500], [0.500, 0.500, 0.000]]
}

[19]
{
  "formula": "BeCd3Te",
  "functional": "PBEsol",
  "state": "optimized geometry",
  "polymorph_energy_ev_per_atom": 0.748,
  "e_form_raw_ev_per_atom": 1.07,
  "crystal_system": "cubic",
  "dos_ef_per_ev_atom": 0.69,
  "total_energy_ev_per_atom": -1.15,
  "lattice": [[5.571, 0.000, 0.000], [0.000, 5.571, 0.000], [0.000, 0.000, 5.571]],
  "species": ["Be", "Cd", "Cd", "Cd", "Te"],
  "frac_coords": [[0.500, 0.500, 0.500], [0.000, 0.000, 0.500], [0.000, 0.500, 0.000], [0.500, 0.000, 0.000], [0.000, 0.000, 0.000]]
}

[20]
{
  "formula": "BeCdTe2",
  "functional": "PBEsol",
  "state": "optimized geometry",
  "polymorph_energy_ev_per_atom": 0.309,
  "e_form_raw_ev_per_atom": -0.04,
  "crystal_system": "tetragonal",
  "dos_ef_per_ev_atom": 0.33,
  "total_energy_ev_per_atom": -3.10,
  "lattice": [[-2.765, 2.657, -0.012], [-2.331, -2.434, -1.830], [-2.236, -2.300, 5.908]],
  "species": ["Cd", "Te", "Te", "Be"],
  "frac_coords": [[0.500, 0.500, 0.936], [0.000, 0.000, 0.787], [0.500, 0.500, 0.349], [0.000, 0.000, 0.428]]
}